DFT (GGA-PBE) results for BaCoPd after structural relaxation.

Unit cell a=4.8263 b=4.8263 c=4.8263 alpha=60.00 beta=60.00 gamma=60.00
Site moments in Bohr magnetons follow the coordinates.
Fractional coordinates of all 3 atoms:
1 Ba 0.0000 0.0000 0.0000  -0.10
2 Co 0.2500 0.2500 0.2500  1.24
3 Pd 0.7500 0.7500 0.7500  -0.02

Computed properties:
E_tot, eV per atom: -3.699


DFT (GGA-PBE) results for Ba3Co2Pd after structural relaxation.

Unit cell a=7.5709 b=7.5709 c=3.7841 alpha=90.00 beta=90.00 gamma=120.04
Site moments in Bohr magnetons follow the coordinates.
Fractional coordinates of all 6 atoms:
1 Ba 0.5000 0.0000 0.5000  -0.03
2 Ba 0.0000 0.5000 0.5000  -0.02
3 Ba 0.5000 0.5000 0.5000  -0.03
4 Co 0.6666 0.3334 0.0000  0.49
5 Co 0.3334 0.6666 0.0000  0.49
6 Pd 0.0000 0.0000 0.0000  0.02

Computed properties:
E_tot, eV per atom: -3.365


DFT (GGA-PBE) results for BaCoPd after structural relaxation.

Unit cell a=4.7121 b=4.7121 c=4.7121 alpha=60.00 beta=60.00 gamma=60.00
Fractional coordinates of all 3 atoms:
1 Ba 0.2500 0.2500 0.2500
2 Co 0.0000 0.0000 0.0000
3 Pd 0.7500 0.7500 0.7500

Computed properties:
E_tot, eV per atom: -4.231


DFT (GGA-PBE) results for BaPmCo after structural relaxation.

Unit cell a=5.0110 b=5.0110 c=5.0110 alpha=60.00 beta=60.00 gamma=60.00
Fractional coordinates of all 3 atoms:
1 Ba 0.2500 0.2500 0.2500
2 Co 0.0000 0.0000 0.0000
3 Pm 0.7500 0.7500 0.7500

Computed properties:
E_tot, eV per atom: -4.210


DFT (GGA-PBE) results for BaPrCo after structural relaxation.

Unit cell a=5.0418 b=5.0418 c=5.0418 alpha=60.00 beta=60.00 gamma=60.00
Fractional coordinates of all 3 atoms:
1 Ba 0.2500 0.2500 0.2500
2 Co 0.0000 0.0000 0.0000
3 Pr 0.7500 0.7500 0.7500

Computed properties:
E_tot, eV per atom: -4.228


DFT (GGA-PBE) results for Ba2CoRe after structural relaxation.

Unit cell a=5.2767 b=5.2767 c=5.2767 alpha=60.00 beta=60.00 gamma=60.00
Fractional coordinates of all 4 atoms:
1 Ba 0.0000 0.0000 0.0000
2 Ba 0.7500 0.7500 0.7500
3 Co 0.2500 0.2500 0.2500
4 Re 0.5000 0.5000 0.5000

Computed properties:
E_tot, eV per atom: -4.484